1.
DFT (GGA-PBE) results for an optimized crystal structure of BaLi2Pb4.

Properties
Theoretical density: 7.71 Mg/m³
Electronic total energy: -0.119 Ha/atom

abc: 8.0993 8.0993 6.4383
angles: 90.00 90.00 90.00
With the nearest neighbours (Å) after each atom.
Space group I4/mmm (No. 139)
Inequivalent atoms, fractional coordinates:
Ba 0.0000 0.0000 0.0000 (multiplicity 2)  4 Pb 3.46
Li 0.0000 0.5000 0.2500 (multiplicity 4)  2 Li 3.22, 8 Pb 3.34
Pb 0.1980 0.1980 0.5000 (multiplicity 8)  4 Pb 3.21-3.43, 4 Li 3.34, 1 Ba 3.46

2.
DFT (GGA-PBE) results for an optimized crystal structure of Ba4LiPb12.

Properties
Theoretical density: 8.93 Mg/m³
Electronic total energy: -0.130 Ha/atom

abc: 10.4201 10.4201 10.4201
angles: 90.00 90.00 90.00
With the nearest neighbours (Å) after each atom.
Space group Im-3m (No. 229)
Inequivalent atoms, fractional coordinates:
Ba 0.2500 0.2500 0.2500 (multiplicity 8)  12 Pb 3.68-3.70
Li 0.0000 0.0000 0.0000 (multiplicity 2)  6 Pb 2.96
Pb 0.0000 0.0000 0.2845 (multiplicity 12)  1 Li 2.96
Pb 0.0000 0.2500 0.5000 (multiplicity 12)  8 Pb 3.44-3.68, 4 Ba 3.68

3.
DFT (GGA-PBE) results for an optimized crystal structure of Ba2LiPb.

Properties
Theoretical density: 5.04 Mg/m³
Electronic total energy: -0.099 Ha/atom

abc: 6.1467 6.1467 4.2633
angles: 90.00 90.00 90.00
With the nearest neighbours (Å) after each atom.
Space group P4/mmm (No. 123)
Inequivalent atoms, fractional coordinates:
Ba 0.0000 0.5000 0.0000 (multiplicity 2)  4 Pb 3.74, 4 Li 3.74
Li 0.0000 0.0000 0.5000 (multiplicity 1)  8 Ba 3.74
Pb 0.5000 0.5000 0.5000 (multiplicity 1)  8 Ba 3.74

4.
DFT (GGA-PBE) results for an optimized crystal structure of BaLiPb2.

Properties
Theoretical density: 7.36 Mg/m³
Electronic total energy: -0.119 Ha/atom

abc: 9.4244 7.8723 6.7942
angles: 90.00 90.00 90.00
With the nearest neighbours (Å) after each atom.
Space group Pnma (No. 62)
Inequivalent atoms, fractional coordinates:
Ba 0.0313 0.2500 0.1226 (multiplicity 4)  2 Li 3.52-3.64, 6 Pb 3.55-3.90
Li 0.0888 0.7500 0.3685 (multiplicity 4)  6 Pb 3.06-3.11
Pb 0.1924 0.0563 0.6180 (multiplicity 8)  1 Pb 3.05, 3 Li 3.06-3.11

5.
DFT (GGA-PBE) results for an optimized crystal structure of BaLi3Pb2.

Properties
Energy above the most stable polymorph in this dataset: 0.00 eV/f.u.
Theoretical density: 6.00 Mg/m³
Electronic total energy: -0.106 Ha/atom

abc: 14.9446 4.8881 9.6853
angles: 90.00 116.42 90.00
With the nearest neighbours (Å) after each atom.
Space group C2/m (No. 12)
Inequivalent atoms, fractional coordinates:
Ba 0.1260 0.0000 0.0063 (multiplicity 4)  7 Pb 3.54-3.86, 2 Li 3.56-3.61, 1 Ba 3.71
Li 0.0454 0.0000 0.3990 (multiplicity 4)  2 Li 2.74-2.83, 3 Pb 2.89-2.95
Li 0.0956 0.5000 0.6357 (multiplicity 4)  4 Li 2.81-3.15, 3 Pb 2.87-3.10
Li 0.2338 0.0000 0.4168 (multiplicity 4)  4 Li 2.74-2.85, 2 Pb 3.06
Pb 0.0751 0.5000 0.2647 (multiplicity 4)  4 Li 2.89-3.14, 1 Pb 3.16
Pb 0.2085 0.0000 0.7161 (multiplicity 4)  6 Li 2.87-3.09, 1 Pb 3.16

6.
DFT (GGA-PBE) results for an optimized crystal structure of BaLiPb.

Properties
Theoretical density: 5.87 Mg/m³
Electronic total energy: -0.103 Ha/atom

abc: 3.9601 3.9601 12.6863
angles: 90.00 90.00 90.00
With the nearest neighbours (Å) after each atom.
Space group I4mm (No. 107)
Inequivalent atoms, fractional coordinates:
Ba 0.0000 0.0000 0.0000 (multiplicity 2)  5 Li 3.66-3.88, 5 Pb 3.76-3.84, 4 Ba 3.96
Li 0.0000 0.0000 0.2882 (multiplicity 2)  4 Pb 3.03
Pb 0.0000 0.0000 0.6974 (multiplicity 2)  4 Li 3.03

Question: Number 6 is which compound?
Answer: BaLiPb

Question: Which formula does entry 5 have?
Answer: BaLi3Pb2